Entry from the Alexandria database: an optimized crystal structure of Ho3In2Sn (PBE).

Unit cell a=5.293 b=5.293 c=6.540 alpha=90.00 beta=90.00 gamma=120.00
Element x y z (fractional)
In 0.667 0.333 0.351
Ho 0.333 0.667 0.152
Sn 0.000 0.000 0.000
In 0.333 0.667 0.649
Ho 0.000 0.000 0.500
Ho 0.667 0.333 0.848

Results
* energy above the most stable polymorph in this dataset: 0 meV/atom
* V: 26.45 Å³ per atom
* crystal system: trigonal
* calculated formation energy: -0.4938 eV/atom